First-principles (PBE-GGA) data for a relaxed structure of Sc2TeP, as listed in Alexandria via LeMat-Bulk.

Results
- E_form (uncorrected): -1151 meV/atom

Lattice parameters (Å, degrees): 7.163 7.163 7.163 150.30 150.28 42.52
Site moments in Bohr magnetons follow the coordinates.
Element x y z (fractional)
P 0.792 0.292 0.500  -0.03
Sc 0.936 0.936 0.000  0.34
Sc 0.227 0.727 0.500  0.26
Te 0.546 0.546 0.000  -0.01

First-principles (PBE-GGA) data for a relaxed structure of BaCrBCl2, as listed in Alexandria via LeMat-Bulk.

Results
- E_form (uncorrected): -96 meV/atom

Lattice parameters (Å, degrees): 5.290 5.290 4.357 90.00 90.00 90.00
Site moments in Bohr magnetons follow the coordinates.
Element x y z (fractional)
Ba 0.500 0.500 0.500  0.04
Cl 0.500 0.000 0.000  0.07
Cl 0.000 0.500 0.000  0.07
B 0.000 0.000 0.000  0.06
Cr 0.000 0.000 0.500  3.87

First-principles (PBE-GGA) data for a relaxed structure of LiPr2SeO5, as listed in Alexandria via LeMat-Bulk.

Results
- E_form (uncorrected): -2066 meV/atom

Lattice parameters (Å, degrees): 5.920 6.873 6.873 90.00 90.00 90.00
Site moments in Bohr magnetons follow the coordinates.
Element x y z (fractional)
O 0.250 0.862 0.362  0.10
O 0.750 0.638 0.862  0.10
O 0.250 0.138 0.638  0.10
O 0.750 0.138 0.638  0.10
O 0.750 0.862 0.362  0.10
O 0.500 0.000 0.000  0.05
O 0.500 0.500 0.500  0.05
O 0.750 0.362 0.138  0.10
O 0.250 0.362 0.138  0.10
O 0.250 0.638 0.862  0.10
Pr 0.500 0.176 0.324  -0.01
Pr 0.500 0.824 0.676  -0.01
Pr 0.500 0.676 0.176  -0.01
Pr 0.500 0.324 0.824  -0.01
Se 0.000 0.500 0.000  0.30
Se 0.000 0.000 0.500  0.30
Li 0.000 0.500 0.500  0.00
Li 0.000 0.000 0.000  0.00

First-principles (PBE-GGA) data for a relaxed structure of Tb2HgOs, as listed in Alexandria via LeMat-Bulk.

Results
- E_form: -0.99 eV/f.u.

Lattice parameters (Å, degrees): 5.036 5.036 5.036 60.00 60.00 60.00
Element x y z (fractional)
Os 0.500 0.500 0.500
Tb 0.250 0.250 0.250
Tb 0.750 0.750 0.750
Hg 0.000 0.000 0.000

First-principles (PBE-GGA) data for a relaxed structure of BaAl2Ir, as listed in Alexandria via LeMat-Bulk.

Results
- E_form: -2.19 eV/f.u.

Lattice parameters (Å, degrees): 4.382 4.382 6.593 70.55 70.55 60.01
Element x y z (fractional)
Ba 0.504 0.504 0.489
Ir 0.324 0.324 0.029
Al 0.980 0.980 0.061
Al 0.693 0.693 0.922

First-principles (PBE-GGA) data for a relaxed structure of KCo2Ge2, as listed in Alexandria via LeMat-Bulk.

Results
- E_form: 0.78 eV/f.u.

Lattice parameters (Å, degrees): 7.583 7.583 2.694 90.00 90.00 90.00
Element x y z (fractional)
Ge 0.853 0.353 0.500
Ge 0.647 0.853 0.500
Ge 0.147 0.647 0.500
Ge 0.353 0.147 0.500
Co 0.632 0.132 0.000
Co 0.132 0.368 0.000
Co 0.868 0.632 0.000
Co 0.368 0.868 0.000
K 0.500 0.500 0.000
K 0.000 0.000 0.000

First-principles (PBE-GGA) data for a relaxed structure of Ho2Nb2Ge2C, as listed in Alexandria via LeMat-Bulk.

Results
- E_form: -4.48 eV/f.u.

Lattice parameters (Å, degrees): 4.266 4.266 8.089 105.29 105.29 90.00
Element x y z (fractional)
Ge 0.630 0.630 0.260
Ge 0.370 0.370 0.740
Ho 0.166 0.166 0.332
Ho 0.834 0.834 0.668
C 0.000 0.000 0.000
Nb 0.500 0.000 0.000
Nb 0.000 0.500 0.000

First-principles (PBE-GGA) data for a relaxed structure of Th2In3Pb, as listed in Alexandria via LeMat-Bulk.

Results
- E_form: -1.20 eV/f.u.

Lattice parameters (Å, degrees): 4.808 3.467 10.193 90.00 90.00 90.00
Element x y z (fractional)
Th 0.500 0.000 0.007
Th 0.000 0.000 0.487
In 0.500 0.500 0.326
In 0.000 0.500 0.169
In 0.000 0.500 0.847
Pb 0.500 0.500 0.664